No. 1
Material: Rb2NpUSe6
Method: DFT, GGA-PBE
State: optimized geometry

Cell: 7.7324 7.7333 10.9343 Å, 90.00 90.00 90.00°
Closest atoms and distances in Å follow each position.
Sites, in units of the cell vectors:
Rb 0.5000 0.7500 0.7501  12 Se 3.86-3.87
Rb 0.0000 0.2500 0.7499  12 Se 3.86-3.87
Se 0.0000 0.7499 0.2478  1 U 2.71, 1 Np 2.76
Se 0.5000 0.2501 0.7478  1 U 2.71, 1 Np 2.76
Se 0.0000 0.7499 0.7522  1 U 2.71, 1 Np 2.76
Se 0.5000 0.2501 0.2522  1 U 2.71, 1 Np 2.76
Se 0.2476 0.9981 0.0000  1 U 2.71, 1 Np 2.76
Np 0.0000 0.7500 0.5000  6 Se 2.76
U 0.0000 0.7500 0.0000  6 Se 2.71
Se 0.7476 0.0019 0.5000  1 U 2.71, 1 Np 2.76
Np 0.5000 0.2500 0.0000  6 Se 2.76
Se 0.2480 0.5024 0.0000  1 U 2.71, 1 Np 2.76
Se 0.2520 0.4976 0.5000  1 U 2.71, 1 Np 2.76
Se 0.7480 0.4976 0.5000  1 U 2.71, 1 Np 2.76
Se 0.7520 0.5024 0.0000  1 U 2.71, 1 Np 2.76
Rb 0.0000 0.2500 0.2501  12 Se 3.86-3.87
U 0.5000 0.2500 0.5000  6 Se 2.71
Rb 0.5000 0.7500 0.2499  12 Se 3.86-3.87
Se 0.7524 0.9981 0.0000  1 U 2.71, 1 Np 2.76
Se 0.2524 0.0019 0.5000  1 U 2.71, 1 Np 2.76

**Symmetry**: No. 225
**Spin magnetization**: 0.299 μB per atom
**Electronic total energy**: -0.42883 Ry/atom
**Energy relative to the elements, uncorrected**: -1.127 eV/atom


No. 2
Material: Rb2Np2USe6
Method: DFT, GGA-PBE
State: optimized geometry

Cell: 7.2853 7.2853 8.5417 Å, 98.23 98.23 119.92°
Closest atoms and distances in Å follow each position.
Sites, in units of the cell vectors:
Rb 0.1675 0.8325 0.0000  6 Se 3.50-3.52
U 0.0000 0.0000 0.5000  6 Se 2.86-2.87
Se 0.6065 0.9363 0.3089  1 U 2.87, 2 Np 2.90
Se 0.0637 0.3935 0.6911  1 U 2.87, 2 Np 2.90
Se 0.2647 0.2647 0.3088  1 U 2.86, 2 Np 2.90
Np 0.6663 0.3337 0.5000  6 Se 2.90
Se 0.3935 0.0637 0.6911  1 U 2.87, 2 Np 2.90
Se 0.7353 0.7353 0.6912  1 U 2.86, 2 Np 2.90
Rb 0.8325 0.1675 0.0000  6 Se 3.50-3.52
Se 0.9363 0.6065 0.3089  1 U 2.87, 2 Np 2.90
Np 0.3337 0.6663 0.5000  6 Se 2.90

**Symmetry**: No. 12
**Spin magnetization**: 0.909 μB per atom
**Electronic total energy**: -0.49273 Ry/atom
**Energy relative to the elements, uncorrected**: -1.248 eV/atom


No. 3
Material: Rb3NpV2Se6
Method: DFT, GGA-PBE
State: optimized geometry

Cell: 6.9125 6.9125 8.2466 Å, 98.05 98.05 119.96°
Closest atoms and distances in Å follow each position.
Sites, in units of the cell vectors:
Se 0.5836 0.9391 0.8176  2 V 2.65-2.66, 1 Np 2.85
V 0.6671 0.3329 0.0000  6 Se 2.65-2.66
Se 0.0609 0.4164 0.1824  2 V 2.65-2.66, 1 Np 2.85
Rb 0.5000 0.5000 0.5000  6 Se 3.32-3.46
Se 0.7045 0.7045 0.1806  2 V 2.65, 1 Np 2.85
Rb 0.8373 0.1627 0.5000  6 Se 3.34-3.47
Se 0.2955 0.2955 0.8194  2 V 2.65, 1 Np 2.85
V 0.3329 0.6671 0.0000  6 Se 2.65-2.66
Se 0.9391 0.5836 0.8176  2 V 2.65-2.66, 1 Np 2.85
Rb 0.1627 0.8373 0.5000  6 Se 3.34-3.47
Se 0.4164 0.0609 0.1824  2 V 2.65-2.66, 1 Np 2.85
Np 0.0000 0.0000 0.0000  6 Se 2.85

**Symmetry**: No. 12
**Spin magnetization**: 0.667 μB per atom
**Electronic total energy**: -0.41000 Ry/atom
**Energy relative to the elements, uncorrected**: -0.996 eV/atom


No. 4
Material: Rb4Np3VSe8
Method: DFT, GGA-PBE
State: optimized geometry

Cell: 8.3915 9.3540 8.4478 Å, 116.94 119.78 90.00°
Closest atoms and distances in Å follow each position.
Sites, in units of the cell vectors:
Se 0.7768 0.3109 0.5537  1 V 2.79, 2 Np 2.90
Se 0.7335 0.6992 0.4671  3 Np 2.90-2.92
V 0.0000 0.5000 0.0000  6 Se 2.77-2.79
Se 0.2233 0.6896 0.9681  1 V 2.77, 2 Np 2.90-2.93
Se 0.2665 0.3008 0.5329  3 Np 2.90-2.92
Np 0.5000 0.5000 0.5000  6 Se 2.90-2.93
Rb 0.5000 0.0000 0.0000  6 Se 3.54-3.55
Rb 0.0000 0.0000 0.5000  6 Se 3.42-3.44
Se 0.2232 0.6891 0.4463  1 V 2.79, 2 Np 2.90
Np 0.5000 0.5000 0.0000  6 Se 2.90-2.92
Se 0.2552 0.3104 0.0319  1 V 2.77, 2 Np 2.90-2.93
Np 0.0000 0.5000 0.5000  6 Se 2.90-2.93
Se 0.7767 0.3104 0.0319  1 V 2.77, 2 Np 2.90-2.93
Se 0.7448 0.6896 0.9681  1 V 2.77, 2 Np 2.90-2.93
Rb 0.5000 0.0000 0.5000  6 Se 3.42-3.44
Rb 0.0000 0.0000 0.0000  6 Se 3.42-3.44

**Symmetry**: No. 12
**Spin magnetization**: 0.062 μB per atom
**Electronic total energy**: -0.44775 Ry/atom
**Energy relative to the elements, uncorrected**: -1.111 eV/atom


No. 5
Material: Rb4Y3NpSe8
Method: DFT, GGA-PBE
State: optimized geometry

Cell: 8.5404 9.3920 8.5411 Å, 117.08 120.00 90.00°
Closest atoms and distances in Å follow each position.
Sites, in units of the cell vectors:
Se 0.7661 0.3041 0.0377  2 Y 2.91, 1 Np 2.94
Y 0.5000 0.5000 0.5000  6 Se 2.91-2.92
Y 0.5000 0.5000 0.0000  6 Se 2.91-2.92
Se 0.7321 0.6959 0.4642  3 Y 2.92
Rb 0.0000 0.0000 0.5000  6 Se 3.46-3.47
Se 0.2679 0.3041 0.5358  3 Y 2.92
Se 0.2339 0.6958 0.4678  2 Y 2.91, 1 Np 2.94
Se 0.2339 0.6959 0.9623  2 Y 2.91, 1 Np 2.94
Se 0.2716 0.3041 0.0377  2 Y 2.91, 1 Np 2.94
Y 0.0000 0.5000 0.5000  6 Se 2.91-2.92
Np 0.0000 0.5000 0.0000  6 Se 2.94
Rb 0.5000 0.0000 0.0000  6 Se 3.44
Rb 0.5000 0.0000 0.5000  6 Se 3.46-3.47
Rb 0.0000 0.0000 0.0000  6 Se 3.46-3.47
Se 0.7284 0.6959 0.9623  2 Y 2.91, 1 Np 2.94
Se 0.7661 0.3042 0.5322  2 Y 2.91, 1 Np 2.94

**Symmetry**: No. 166
**Spin magnetization**: 0.250 μB per atom
**Electronic total energy**: -0.41283 Ry/atom
**Energy relative to the elements, uncorrected**: -1.612 eV/atom


No. 6
Material: Rb3YNp3Se8
Method: DFT, GGA-PBE
State: optimized geometry

Cell: 8.4607 8.4601 9.4584 Å, 116.58 90.00 120.00°
Closest atoms and distances in Å follow each position.
Sites, in units of the cell vectors:
Np 0.5000 0.5000 0.5000  6 Se 2.89-2.90
Y 0.0000 0.0000 0.5000  6 Se 2.90
Se 0.2311 0.9607 0.6916  2 Np 2.89, 1 Y 2.90
Np 0.0000 0.5000 0.5000  6 Se 2.89-2.90
Se 0.2704 0.0393 0.3084  2 Np 2.89, 1 Y 2.90
Se 0.7296 0.9607 0.6916  2 Np 2.89, 1 Y 2.90
Se 0.2311 0.4623 0.6917  2 Np 2.89, 1 Y 2.90
Rb 0.5000 0.5000 0.0000  6 Se 3.48-3.50
Se 0.7689 0.0393 0.3084  2 Np 2.89, 1 Y 2.90
Se 0.2689 0.5377 0.3067  3 Np 2.90
Np 0.5000 0.0000 0.5000  6 Se 2.89-2.90
Se 0.7689 0.5377 0.3083  2 Np 2.89, 1 Y 2.90
Rb 0.0000 0.0000 0.0000  6 Se 3.48-3.50
Se 0.7311 0.4623 0.6933  3 Np 2.90
Rb 0.0000 0.5000 0.0000  6 Se 3.48-3.50

**Symmetry**: No. 166
**Spin magnetization**: 0.733 μB per atom
**Electronic total energy**: -0.47302 Ry/atom
**Energy relative to the elements, uncorrected**: -1.365 eV/atom


No. 7
Material: Rb3Y2NpSe6
Method: DFT, GGA-PBE
State: optimized geometry

Cell: 7.4036 7.4036 8.3671 Å, 98.46 98.46 119.91°
Closest atoms and distances in Å follow each position.
Sites, in units of the cell vectors:
Se 0.5974 0.9341 0.8039  2 Y 2.91-2.92, 1 Np 2.95
Np 0.0000 0.0000 0.0000  6 Se 2.95
Se 0.7284 0.7284 0.1967  2 Y 2.91, 1 Np 2.95
Se 0.4026 0.0659 0.1961  2 Y 2.91-2.92, 1 Np 2.95
Se 0.9341 0.5974 0.8039  2 Y 2.91-2.92, 1 Np 2.95
Y 0.6659 0.3341 0.0000  6 Se 2.91-2.92
Rb 0.5000 0.5000 0.5000  6 Se 3.44-3.47
Y 0.3341 0.6659 0.0000  6 Se 2.91-2.92
Rb 0.1670 0.8330 0.5000  6 Se 3.44-3.48
Se 0.2716 0.2716 0.8033  2 Y 2.91, 1 Np 2.95
Rb 0.8330 0.1670 0.5000  6 Se 3.44-3.48
Se 0.0659 0.4026 0.1961  2 Y 2.91-2.92, 1 Np 2.95

**Symmetry**: No. 12
**Spin magnetization**: 0.333 μB per atom
**Electronic total energy**: -0.41940 Ry/atom
**Energy relative to the elements, uncorrected**: -1.566 eV/atom


No. 8
Material: Rb2Y2NpSe6
Method: DFT, GGA-PBE
State: optimized geometry

Cell: 7.2415 7.2415 8.5591 Å, 98.28 98.28 119.93°
Closest atoms and distances in Å follow each position.
Sites, in units of the cell vectors:
Rb 0.1686 0.8314 0.0000  6 Se 3.49-3.50
Se 0.0646 0.3934 0.6914  1 Np 2.85, 2 Y 2.89-2.90
Se 0.9354 0.6066 0.3086  1 Np 2.85, 2 Y 2.89-2.90
Se 0.3934 0.0646 0.6914  1 Np 2.85, 2 Y 2.89-2.90
Se 0.7369 0.7369 0.6909  1 Np 2.85, 2 Y 2.89
Np 0.0000 0.0000 0.5000  6 Se 2.85
Y 0.6667 0.3333 0.5000  6 Se 2.89-2.90
Se 0.2631 0.2631 0.3091  1 Np 2.85, 2 Y 2.89
Rb 0.8314 0.1686 0.0000  6 Se 3.49-3.50
Y 0.3333 0.6667 0.5000  6 Se 2.89-2.90
Se 0.6066 0.9354 0.3086  1 Np 2.85, 2 Y 2.89-2.90

**Symmetry**: No. 12
**Spin magnetization**: 0.273 μB per atom
**Electronic total energy**: -0.44138 Ry/atom
**Energy relative to the elements, uncorrected**: -1.577 eV/atom


No. 9
Material: Rb4Np3ZnSe8
Method: DFT, GGA-PBE
State: optimized geometry

Cell: 8.5175 9.3296 8.5070 Å, 117.11 120.04 90.00°
Closest atoms and distances in Å follow each position.
Sites, in units of the cell vectors:
Se 0.2680 0.3043 0.5360  3 Np 2.91
Se 0.7729 0.3110 0.0376  1 Zn 2.84, 2 Np 2.90
Se 0.2251 0.6876 0.4502  1 Zn 2.82, 2 Np 2.90
Np 0.5000 0.5000 0.5000  6 Se 2.90-2.91
Np 0.5000 0.5000 0.0000  6 Se 2.90-2.91
Rb 0.5000 0.0000 0.5000  6 Se 3.45-3.47
Rb 0.0000 0.0000 0.5000  6 Se 3.45-3.47
Se 0.7749 0.3124 0.5498  1 Zn 2.82, 2 Np 2.90
Se 0.7320 0.6957 0.4640  3 Np 2.91
Rb 0.5000 0.0000 0.0000  6 Se 3.51-3.53
Rb 0.0000 0.0000 0.0000  6 Se 3.44-3.47
Se 0.7353 0.6890 0.9624  1 Zn 2.84, 2 Np 2.90
Zn 0.0000 0.5000 0.0000  6 Se 2.82-2.84
Np 0.0000 0.5000 0.5000  6 Se 2.90-2.91
Se 0.2647 0.3110 0.0376  1 Zn 2.84, 2 Np 2.90
Se 0.2271 0.6890 0.9624  1 Zn 2.84, 2 Np 2.90

**Symmetry**: No. 12
**Spin magnetization**: 0.687 μB per atom
**Electronic total energy**: -0.41136 Ry/atom
**Energy relative to the elements, uncorrected**: -1.107 eV/atom


No. 10
Material: Rb3Np2ZnSe6
Method: DFT, GGA-PBE
State: optimized geometry

Cell: 7.3133 7.3133 8.2987 Å, 98.41 98.41 120.04°
Closest atoms and distances in Å follow each position.
Sites, in units of the cell vectors:
Rb 0.1656 0.8344 0.5000  6 Se 3.45-3.50
Zn 0.0000 0.0000 0.0000  6 Se 2.81-2.83
Np 0.3332 0.6668 0.0000  6 Se 2.88
Se 0.0632 0.3908 0.1899  1 Zn 2.83, 2 Np 2.88
Rb 0.8344 0.1656 0.5000  6 Se 3.45-3.50
Se 0.7367 0.7367 0.1884  1 Zn 2.81, 2 Np 2.88
Se 0.2633 0.2633 0.8116  1 Zn 2.81, 2 Np 2.88
Np 0.6668 0.3332 0.0000  6 Se 2.88
Se 0.6092 0.9368 0.8101  1 Zn 2.83, 2 Np 2.88
Se 0.3908 0.0632 0.1899  1 Zn 2.83, 2 Np 2.88
Rb 0.5000 0.5000 0.5000  6 Se 3.45-3.51
Se 0.9368 0.6092 0.8101  1 Zn 2.83, 2 Np 2.88

**Symmetry**: No. 12
**Spin magnetization**: 0.583 μB per atom
**Electronic total energy**: -0.39036 Ry/atom
**Energy relative to the elements, uncorrected**: -1.064 eV/atom


Which formula does entry 2 have? Rb2Np2USe6